GGA-PBE Sc2OsPtCl, relaxed; magnetization = 0.000 μB/f.u.; symmetry = No. 123; ΔE_f (raw) = 23.8 kJ per mole of atoms
1.0
4.628 0.000 0.000
0.000 4.628 0.000
0.000 0.000 4.420
Sc Os Pt Cl
2 1 1 1
direct
0.000 0.500 0.000
0.500 0.000 0.000
0.000 0.000 0.500
0.500 0.500 0.500
0.500 0.500 0.000

=====

GGA-PBE Sm2Ga4Ni3Ir, relaxed; magnetization = 0.000 μB/f.u.; DFT formation energy = -614 meV/atom; symmetry = No. 115
1.0
4.163 0.000 0.000
0.000 4.163 0.000
0.000 0.000 9.939
Sm Ga Ni Ir
2 4 3 1
direct
0.000 0.500 0.250
0.500 0.000 0.750
0.000 0.000 0.000
0.000 0.500 0.635
0.500 0.000 0.365
0.500 0.500 0.000
0.000 0.500 0.874
0.500 0.000 0.126
0.500 0.500 0.500
0.000 0.000 0.500

=====

GGA-PBE MgFeAs, relaxed; magnetization = 1.625 μB/f.u.; DFT formation energy = -116 meV/atom; symmetry = No. 187
1.0
3.987 0.000 0.000
-1.993 3.453 0.000
0.000 0.000 3.621
Mg Fe As
1 1 1
direct
0.000 0.000 0.000
0.333 0.667 0.500
0.667 0.333 0.500

=====

GGA-PBE KLaCl2, relaxed; magnetization = 0.296 μB/f.u.; E above lowest polymorph = 0.060 eV per atom; symmetry = No. 10; ΔE_f (raw) = -155.1 kJ per mole of atoms
1.0
3.976 0.000 0.000
0.000 3.585 0.000
-0.015 0.000 8.441
K La Cl
1 1 2
direct
0.000 0.000 0.000
0.500 0.000 0.500
0.500 0.500 0.217
0.500 0.500 0.783